{
  "formula": "FeSiC3",
  "functional": "PBE",
  "state": "optimized geometry",
  "lattice_angstrom": [[-0.8001, -2.6977, 0.4739], [1.3815, 0.4853, 5.0949], [-4.5291, 4.4852, 0.8008]],
  "species": ["C", "C", "C", "C", "C", "C", "Si", "Si", "Fe", "Fe"],
  "frac_coords": [[0.5348, 0.7347, 0.2159], [0.5348, 0.2653, 0.2159], [0.5348, 0.2347, 0.7159], [0.5348, 0.7653, 0.7159], [0.4072, 0.0000, 0.5891], [0.4072, 0.5000, 0.0891], [0.0813, 0.0000, 0.2642], [0.0813, 0.5000, 0.7642], [0.2188, 0.0000, 0.8999], [0.2188, 0.5000, 0.3999]],
  "dos_at_fermi_per_ev_atom": 0.379,
  "polymorph_energy_mev_per_atom": 183,
  "final_energy_ev_per_cell": -75.691,
  "total_magnetization_mub_per_cell": 4.4,
  "sg": "No. 8",
  "raw_formation_energy_ev_per_atom": 0.742
}